A geometry-optimized K2SrNiO4 structure. Source: Alexandria via LeMat-Bulk, functional PBE with a Hubbard U.

abc: 6.5544 6.5544 6.2022
angles: 90.00 90.00 90.00
Last column: nearest neighbours and their distance in Å.
Space group I-42m (No. 121)
Inequivalent atoms, fractional coordinates:
K 0.0000 0.5000 0.0000  4 O 2.70
Sr 0.0000 0.0000 0.0000  4 O 2.49
Ni 0.0000 0.0000 0.5000  4 O 1.83
O 0.1586 0.1586 0.3230  1 Ni 1.83

Values from the calculation:
VASP energy = -4.53 eV/atom
magnetization = 0.51 μB per atom